No. 1
Ce2Dy3ThS6 PBE-GGA relaxed; total magnetic moment = 1.64 μB/cell; E_tot = -6.809 eV per atom
1.0
8.7064 -1.9707 0.0000
8.7064 1.9707 0.0000
-2.0451 0.0000 7.7295
Ce Dy Th S
2 3 1 6
direct
0.1661 0.1661 0.3320 Ce
0.8339 0.8339 0.6680 Ce
0.1664 0.1664 0.8326 Dy
0.5000 0.5000 0.5000 Dy
0.8336 0.8336 0.1674 Dy
0.5000 0.5000 0.0000 Th
0.0031 0.0031 0.7416 S
0.3299 0.3299 0.9240 S
0.3357 0.3357 0.4106 S
0.6643 0.6643 0.5894 S
0.6701 0.6701 0.0760 S
0.9969 0.9969 0.2584 S



No. 2
KScBe2 PBE-GGA relaxed; formation enthalpy at 0 K = 0.721 eV/atom; total magnetic moment = 0.00 μB/cell; E above lowest polymorph = 324 meV per atom
1.0
-1.4937 2.5855 5.0839
1.4937 -2.5855 5.0839
1.4937 2.5855 -5.0839
K Sc Be
1 1 2
direct
0.0000 0.0000 0.0000 K
0.3157 0.8157 0.5000 Sc
0.5603 0.5603 0.0000 Be
0.7180 0.2180 0.5000 Be



No. 3
SmGdHgPd PBE-GGA relaxed; formation enthalpy at 0 K = -0.611 eV/atom; total magnetic moment = 7.16 μB/cell
1.0
0.0000 3.6697 3.6697
3.6697 0.0000 3.6697
3.6697 3.6697 0.0000
Sm Gd Hg Pd
1 1 1 1
direct
0.0000 0.0000 0.0000 Sm
0.5000 0.5000 0.5000 Gd
0.7500 0.7500 0.7500 Hg
0.2500 0.2500 0.2500 Pd



No. 4
Ac2Zn3Ga4Au PBE-GGA relaxed; formation enthalpy at 0 K = -0.516 eV/atom; total magnetic moment = 0.00 μB/cell
1.0
4.4847 0.0000 0.0000
0.0000 4.4847 0.0000
0.0000 0.0000 10.6864
Ac Zn Ga Au
2 3 4 1
direct
0.0000 0.5000 0.2498 Ac
0.5000 0.0000 0.7502 Ac
0.0000 0.0000 0.0000 Zn
0.0000 0.5000 0.6299 Zn
0.5000 0.0000 0.3701 Zn
0.0000 0.0000 0.5000 Ga
0.0000 0.5000 0.8691 Ga
0.5000 0.0000 0.1309 Ga
0.5000 0.5000 0.5000 Ga
0.5000 0.5000 0.0000 Au



- Which of these has the highest total magnetic moment?
  SmGdHgPd



- The highest total magnetic moment belongs to which entry?
  SmGdHgPd



What did the fourth record say?
Ac2Zn3Ga4Au PBE-GGA relaxed; formation enthalpy at 0 K = -0.516 eV/atom; total magnetic moment = 0.00 μB/cell
1.0
4.4847 0.0000 0.0000
0.0000 4.4847 0.0000
0.0000 0.0000 10.6864
Ac Zn Ga Au
2 3 4 1
direct
0.0000 0.5000 0.2498 Ac
0.5000 0.0000 0.7502 Ac
0.0000 0.0000 0.0000 Zn
0.0000 0.5000 0.6299 Zn
0.5000 0.0000 0.3701 Zn
0.0000 0.0000 0.5000 Ga
0.0000 0.5000 0.8691 Ga
0.5000 0.0000 0.1309 Ga
0.5000 0.5000 0.5000 Ga
0.5000 0.5000 0.0000 Au



- Look up the total magnetic moment of the fourth one.
  0.00 μB/cell